(1)
Compound: YTaAg2
Source: the Alexandria database
Functional: GGA-PBE
Structure: relaxed

```
YTaAg2
1.0
3.039 0.003 0.000
-0.004 3.039 0.000
0.000 0.000 8.702
Ta Ag Y
1 2 1
direct
0.500 0.500 0.250
0.000 0.000 0.018
0.000 0.000 0.482
0.500 0.500 0.750
```

The space-group type is No. 123. The value obtained for the calculated volume is 20.088 Å³ per atom. The calculation puts the spin magnetization at 0.00 μB per atom. The final energy is -5.790 eV per atom. The value obtained for the energy relative to the lowest polymorph listed for this composition is 26 kJ/mol of formula units. For the formation energy, the calculation gives 83 kJ/mol of formula units.

=====

(2)
Compound: Y4TaAg
Source: the Alexandria database
Functional: GGA-PBE
Structure: relaxed

```
Y4TaAg
1.0
-3.960 1.263 4.516
-5.935 -1.430 -0.634
-2.429 -4.559 3.315
Y Ag Ta
4 1 1
direct
0.374 0.374 0.878
0.374 0.878 0.374
0.878 0.374 0.374
0.374 0.374 0.374
0.750 0.750 0.750
0.000 0.000 0.000
```

The space-group type is No. 216. The value obtained for the calculated volume is 27.249 Å³ per atom. The calculation puts the spin magnetization at 0.28 μB per atom. The final energy is -5.973 eV per atom. For the formation energy, the calculation gives 455 kJ/mol of formula units.